No. 1
The following is a PBE calculation of a relaxed structure of Ho3HgPb2, from Alexandria.

Properties
Energy of formation from the pure elements (eV/atom): -0.40
SG: C2/c, No. 15
Theoretical density (g/cm3): 11.14

abc: 6.3454 6.5335 8.7642
angles: 101.61 111.22 90.00
Fractional coordinates of all 12 atoms:
Pb: 0.5582 0.5611 0.3237
Hg: 0.8818 0.7500 0.0000
Hg: 0.1182 0.2500 0.0000
Ho: 0.0614 0.5938 0.3344
Ho: 0.3663 0.7500 0.0000
Pb: 0.2344 0.9389 0.6763
Pb: 0.4418 0.4389 0.6763
Ho: 0.6337 0.2500 0.0000
Ho: 0.7270 0.9062 0.6656
Ho: 0.9386 0.4062 0.6656
Pb: 0.7656 0.0611 0.3237
Ho: 0.2730 0.0938 0.3344

No. 2
The following is a PBE calculation of a relaxed structure of Hf2FeSi, from Alexandria.

Properties
SG: P2_1/m, No. 11
Theoretical density (g/cm3): 10.82
E_form (uncorrected) (eV per atom): -0.55

abc: 5.3186 3.8652 7.0159
angles: 90.00 110.28 90.00
Fractional coordinates of all 8 atoms:
Fe: 0.3577 0.2500 0.2158
Si: 0.3405 0.2500 0.7110
Hf: 0.2066 0.7500 0.9428
Si: 0.6595 0.7500 0.2890
Hf: 0.2206 0.7500 0.4098
Fe: 0.6423 0.7500 0.7842
Hf: 0.7934 0.2500 0.0572
Hf: 0.7794 0.2500 0.5902

No. 3
The following is a PBE calculation of a relaxed structure of Y4Cu2HgRu, from Alexandria.

Properties
Energy of formation from the pure elements (eV/atom): -0.35
SG: R-3m, No. 166
Theoretical density (g/cm3): 7.38

abc: 5.0077 5.0077 8.6292
angles: 73.13 73.13 60.00
Fractional coordinates of all 8 atoms:
Hg: 0.0000 0.0000 0.0000
Y: 0.8690 0.8690 0.3929
Y: 0.6175 0.6175 0.1475
Ru: 0.5000 0.5000 0.5000
Cu: 0.7478 0.7478 0.7566
Cu: 0.2522 0.2522 0.2434
Y: 0.1310 0.1310 0.6071
Y: 0.3825 0.3825 0.8525

No. 4
The following is a PBE calculation of a relaxed structure of SrLuTlCu, from Alexandria.

Properties
Energy of formation from the pure elements (eV/atom): -0.11
SG: F-43m, No. 216
Theoretical density (g/cm3): 8.30

abc: 5.3153 5.3153 5.3153
angles: 60.00 60.00 60.00
Fractional coordinates of all 4 atoms:
Tl: 0.7500 0.7500 0.7500
Sr: 0.5000 0.5000 0.5000
Cu: 0.2500 0.2500 0.2500
Lu: 0.0000 0.0000 0.0000

No. 5
The following is a PBE calculation of a relaxed structure of TbPm2Pr5Sm, from Alexandria.

Properties
Energy of formation from the pure elements (eV/atom): 0.27
SG: I4/mcm, No. 140
Theoretical density (g/cm3): 6.78

abc: 8.8799 8.8799 10.2486
angles: 115.67 115.67 90.00
Fractional coordinates of all 18 atoms:
Pr: 0.6504 0.1504 0.7198
Pr: 0.9306 0.4306 0.2802
Tb: 0.2500 0.7500 0.5000
Pr: 0.0000 0.0000 0.0000
Pr: 0.8496 0.9306 0.2802
Pr: 0.3496 0.8496 0.2802
Pm: 0.6179 0.1179 0.0000
Pm: 0.8821 0.6179 0.0000
Sm: 0.7500 0.7500 0.5000
Pr: 0.5694 0.6504 0.7198
Tb: 0.7500 0.2500 0.5000
Pr: 0.5000 0.5000 0.0000
Pr: 0.1504 0.0694 0.7198
Pr: 0.4306 0.3496 0.2802
Pm: 0.1179 0.3821 0.0000
Sm: 0.2500 0.2500 0.5000
Pr: 0.0694 0.5694 0.7198
Pm: 0.3821 0.8821 0.0000

No. 6
The following is a PBE calculation of a relaxed structure of Y3Ho2Er8, from Alexandria.

Properties
Energy of formation from the pure elements (eV/atom): 0.03
SG: P-1, No. 2
Theoretical density (g/cm3): 7.99

abc: 6.1036 7.8757 13.6558
angles: 41.34 68.17 75.03
Fractional coordinates of all 13 atoms:
Er: 0.9238 0.6189 0.8448
Er: 0.0762 0.3811 0.1552
Er: 0.6929 0.4603 0.3854
Y: 0.5383 0.6893 0.0775
Y: 0.4617 0.3107 0.9225
Ho: 0.2306 0.1527 0.4622
Er: 0.6159 0.0739 0.2323
Y: 0.0000 0.0000 0.0000
Er: 0.3071 0.5397 0.6146
Er: 0.8457 0.2328 0.6907
Er: 0.1543 0.7672 0.3093
Er: 0.3841 0.9261 0.7677
Ho: 0.7694 0.8473 0.5378